[1]
5
Lattice="5.745 0.000 0.000 0.000 5.745 0.000 0.000 0.000 5.745" Properties=species:S:1:pos:R:3 comment="RbAl3Ga (SCAN, single point on PBEsol structure)" density_g_cm3=2.07 sg="No. 221" delta_e_f_ev_per_atom=1.8723 total_energy_ev_per_atom=-10.20 pbc="T T T"
Ga 2.872 2.872 2.872
Rb 0.000 0.000 0.000
Al 0.000 2.872 0.000
Al 2.872 0.000 0.000
Al 0.000 0.000 2.872

=====

[2]
5
Lattice="-2.451 -5.855 -1.820 4.860 -3.050 3.268 -3.739 -0.127 5.441" Properties=species:S:1:pos:R:3 comment="Rb3AlGa (SCAN, single point on PBEsol structure)" density_g_cm3=2.04 sg="No. 221" delta_e_f_ev_per_atom=0.6014 total_energy_ev_per_atom=-16.66 pbc="T T T"
Rb -1.225 -2.928 -0.910
Rb 2.430 -1.525 1.634
Rb -1.869 -0.064 2.721
Ga 0.000 0.000 0.000
Al -0.665 -4.516 3.444

=====

[3]
5
Lattice="-2.546 -3.096 -1.830 0.163 -2.339 3.730 -4.058 2.358 1.656" Properties=species:S:1:pos:R:3 comment="AlGaReS2 (SCAN, single point on PBEsol structure)" density_g_cm3=5.96 sg="No. 123" total_energy_ev_per_atom=-21.89 pbc="T T T"
Al 0.000 0.000 0.000
S 0.081 -1.170 1.865
S -1.273 -1.548 -0.915
Re -2.029 1.179 0.828
Ga -3.220 -1.538 1.778